A plane-wave DFT calculation with PBE-GGA was carried out for Hf2Cu2Hg after structural relaxation.

a b c (Å): 7.0836 7.0836 3.5164
angles (deg): 90.00 90.00 90.00
Closest atoms and distances in Å follow each position.
Sites, in units of the cell vectors:
Cu1 0.8750 0.6250 0.0000  1 Cu 2.50, 6 Hf 2.73, 2 Hg 2.80
Cu2 0.3750 0.8750 0.0000  1 Cu 2.50, 6 Hf 2.73, 2 Hg 2.80
Cu3 0.6250 0.1250 0.0000  1 Cu 2.50, 6 Hf 2.73, 2 Hg 2.80
Cu4 0.1250 0.3750 0.0000  1 Cu 2.50, 6 Hf 2.73, 2 Hg 2.80
Hg1 0.0000 0.0000 0.0000  4 Cu 2.80
Hg2 0.5000 0.5000 0.0000  4 Cu 2.80
Hf1 0.8335 0.3335 0.5000  6 Cu 2.73
Hf2 0.1665 0.6665 0.5000  6 Cu 2.73
Hf3 0.6665 0.8335 0.5000  6 Cu 2.73
Hf4 0.3335 0.1665 0.5000  6 Cu 2.73

Values from the calculation:
space-group type: P4/mbm, No. 127
magnetic moment: 0.0 Bohr magnetons per cell
total energy: -5.83 eV per atom
energy of formation: -0.15 eV per atom